[1]
DFT (GGA-PBE) results for BeCuSnRu2 after structural relaxation.

a b c (Å): 4.893 4.309 4.893
angles (deg): 90.00 90.00 90.00
Last column: magnetic moment on the atom in μB.
Sites, in units of the cell vectors:
Be  0.000  0.500  0.000  -0.01
Cu  0.500  0.500  0.500  0.10
Sn  0.000  0.000  0.000  -0.03
Ru  0.000  0.000  0.500  0.98
Ru  0.500  0.000  0.000  1.07

Computed properties:
* energy relative to the elements: 1.740 eV per atom
* space-group type: P4/mmm

[2]
DFT (GGA-PBE) results for Ta2BeCuRu after structural relaxation.

a b c (Å): 4.652 3.753 4.652
angles (deg): 90.00 90.00 90.00
Sites, in units of the cell vectors:
Cu  0.000  0.000  0.000
Ta  0.500  0.000  0.000
Be  0.000  0.500  0.000
Ru  0.500  0.500  0.500
Ta  0.000  0.000  0.500

Computed properties:
* energy relative to the elements: 0.943 eV per atom
* space-group type: P4/mmm

[3]
DFT (GGA-PBE) results for BeCu2TcRu after structural relaxation.

a b c (Å): 4.614 4.538 4.614
angles (deg): 90.00 90.00 90.00
Last column: magnetic moment on the atom in μB.
Sites, in units of the cell vectors:
Ru  0.000  0.500  0.000  0.28
Tc  0.000  0.000  0.000  0.12
Cu  0.500  0.000  0.000  0.02
Be  0.500  0.500  0.500  -0.01
Cu  0.000  0.000  0.500  0.04

Computed properties:
* energy relative to the elements: 1.729 eV per atom
* space-group type: P4/mmm

[4]
DFT (GGA-PBE) results for BeCu2TeRu after structural relaxation.

a b c (Å): 4.046 4.717 4.046
angles (deg): 90.00 90.00 90.00
Sites, in units of the cell vectors:
Te  0.000  0.500  0.000
Cu  0.000  0.000  0.500
Be  0.000  0.000  0.000
Cu  0.500  0.000  0.000
Ru  0.500  0.500  0.500

Computed properties:
* formation energy (no corrections): 796 meV/atom
* space-group type: P4/mmm